1.
# RbUHg2I8, relaxed, DFT PBE-GGA
data_RbUHg2I8
_chemical_formula_sum 'Rb1 U1 Hg2 I8'
_space_group_name_H-M_alt 'P -1'
_space_group_IT_number 2
_cell_length_a 7.8464
_cell_length_b 8.1720
_cell_length_c 10.3538
_cell_angle_alpha 112.13
_cell_angle_beta 92.22
_cell_angle_gamma 96.30
loop_
_space_group_symop_operation_xyz
'x,y,z'
'-x,-y,-z'
loop_
_atom_site_label
_atom_site_type_symbol
_atom_site_fract_x
_atom_site_fract_y
_atom_site_fract_z
Rb1 Rb 0.0000 0.0000 0.0000
U1 U 0.0000 0.0000 0.5000
Hg1 Hg 0.4619 0.6579 0.1963
I1 I 0.0969 0.7283 0.2177
I2 I 0.1472 0.7931 0.6523
I3 I 0.3489 0.2365 0.5376
I4 I 0.4442 0.2620 0.0458
# Total moment in μB per formula unit: 3.0
# E_form (uncorrected) in eV per atom: -0.6552
# Crystal system: triclinic
# Calculated total energy in eV per atom: -2.7603



2.
# TaTlP2, relaxed, DFT PBE-GGA
data_TaTlP2
_chemical_formula_sum 'Ta1 Tl1 P2'
_space_group_name_H-M_alt 'P m m m'
_space_group_IT_number 47
_cell_length_a 3.5671
_cell_length_b 3.8331
_cell_length_c 5.5128
_cell_angle_alpha 90.00
_cell_angle_beta 90.00
_cell_angle_gamma 90.00
loop_
_space_group_symop_operation_xyz
'x,y,z'
'-x,-y,-z'
'-x,-y,z'
'x,y,-z'
'x,-y,-z'
'-x,y,z'
'-x,y,-z'
'x,-y,z'
loop_
_atom_site_label
_atom_site_type_symbol
_atom_site_fract_x
_atom_site_fract_y
_atom_site_fract_z
Ta1 Ta 0.0000 0.0000 0.0000
Tl1 Tl 0.0000 0.5000 0.5000
P1 P 0.5000 0.0000 0.5000
P2 P 0.5000 0.5000 0.0000
# Energy relative to the lowest polymorph listed for this composition in meV/atom: 695
# Formation energy in eV per atom: 0.49
# Total moment in μB per formula unit: 0.0
# Crystal system: orthorhombic
# Calculated total energy in eV per atom: -5.7658



3.
# PmCuTe2O8, relaxed, DFT PBE-GGA
data_PmCuTe2O8
_chemical_formula_sum 'Pm2 Cu2 Te4 O16'
_space_group_name_H-M_alt 'I -4 m 2'
_space_group_IT_number 119
_space_group_name_Hall 'I -4 -2'
_cell_length_a 7.3141
_cell_length_b 7.3141
_cell_length_c 6.8239
_cell_angle_alpha 90.00
_cell_angle_beta 90.00
_cell_angle_gamma 90.00
loop_
_atom_site_label
_atom_site_type_symbol
_atom_site_fract_x
_atom_site_fract_y
_atom_site_fract_z
Pm1 Pm 0.0000 0.0000 0.0000
Cu1 Cu 0.0000 0.5000 0.7500
Te1 Te 0.0000 0.0000 0.5000
Te2 Te 0.0000 0.5000 0.2500
O1 O 0.0000 0.1952 0.6827
O2 O 0.0000 0.3089 0.0772
# Total moment in μB per formula unit: 0.1
# E_form (uncorrected) in eV per atom: -1.2319
# Crystal system: tetragonal
# Calculated total energy in eV per atom: -5.7982



4.
# CsMg2I, relaxed, DFT PBE-GGA
data_CsMg2I
_chemical_formula_sum 'Cs4 Mg8 I4'
_space_group_name_H-M_alt 'F m -3 m'
_space_group_IT_number 225
_space_group_name_Hall '-F 4 2 3'
_cell_length_a 9.0624
_cell_length_b 9.0624
_cell_length_c 9.0624
_cell_angle_alpha 90.00
_cell_angle_beta 90.00
_cell_angle_gamma 90.00
loop_
_atom_site_label
_atom_site_type_symbol
_atom_site_fract_x
_atom_site_fract_y
_atom_site_fract_z
Cs1 Cs 0.0000 0.0000 0.0000
Mg1 Mg 0.2500 0.2500 0.2500
I1 I 0.0000 0.0000 0.5000
# Energy relative to the lowest polymorph listed for this composition in meV/atom: 123
# Total moment in μB per formula unit: 0.0
# E_form (uncorrected) in eV per atom: -0.0155
# Crystal system: cubic
# Calculated total energy in eV per atom: -1.4137



5.
# LiCd2Pt, relaxed, DFT PBE-GGA
data_LiCd2Pt
_chemical_formula_sum 'Li1 Cd2 Pt1'
_space_group_name_H-M_alt 'P m m 2'
_space_group_IT_number 25
_cell_length_a 2.9586
_cell_length_b 4.0361
_cell_length_c 5.9506
_cell_angle_alpha 90.00
_cell_angle_beta 90.00
_cell_angle_gamma 90.00
loop_
_space_group_symop_operation_xyz
'x,y,z'
'-x,-y,z'
'-x,y,z'
'x,-y,z'
loop_
_atom_site_label
_atom_site_type_symbol
_atom_site_fract_x
_atom_site_fract_y
_atom_site_fract_z
Li1 Li 0.0000 0.0000 0.0000
Cd1 Cd 0.0000 0.0000 0.4491
Cd2 Cd 0.5000 0.5000 0.7419
Pt1 Pt 0.5000 0.5000 0.2097
# Energy relative to the lowest polymorph listed for this composition in meV/atom: 121
# Formation energy in eV per atom: -0.32
# Total moment in μB per formula unit: 0.0
# Crystal system: orthorhombic
# Calculated total energy in eV per atom: -2.7614



6.
# K2ScBi2, relaxed, DFT PBE-GGA
data_K2ScBi2
_chemical_formula_sum 'K4 Sc2 Bi4'
_space_group_name_H-M_alt 'P 4/m b m'
_space_group_IT_number 127
_space_group_name_Hall '-P 4 2ab'
_cell_length_a 9.5442
_cell_length_b 9.5442
_cell_length_c 3.7875
_cell_angle_alpha 90.00
_cell_angle_beta 90.00
_cell_angle_gamma 90.00
loop_
_atom_site_label
_atom_site_type_symbol
_atom_site_fract_x
_atom_site_fract_y
_atom_site_fract_z
K1 K 0.1142 0.3858 0.0000
Sc1 Sc 0.0000 0.0000 0.5000
Bi1 Bi 0.1876 0.6876 0.5000
# Formation energy in eV per atom: -0.01
# Total moment in μB per formula unit: 0.0
# Crystal system: tetragonal
# Calculated total energy in eV per atom: -3.2699



7.
# TaTlHg2, relaxed, DFT PBE-GGA
data_TaTlHg2
_chemical_formula_sum 'Ta1 Tl1 Hg2'
_space_group_name_H-M_alt 'P 1 2/m 1'
_space_group_IT_number 10
_cell_length_a 3.1737
_cell_length_b 4.5306
_cell_length_c 6.2097
_cell_angle_alpha 90.00
_cell_angle_beta 94.83
_cell_angle_gamma 90.00
loop_
_space_group_symop_operation_xyz
'x,y,z'
'-x,-y,-z'
'-x,y,-z'
'x,-y,z'
loop_
_atom_site_label
_atom_site_type_symbol
_atom_site_fract_x
_atom_site_fract_y
_atom_site_fract_z
Ta1 Ta 0.0000 0.0000 0.0000
Tl1 Tl 0.0000 0.0000 0.5000
Hg1 Hg 0.4509 0.5000 0.2272
# Formation energy in eV per atom: 0.52
# Total moment in μB per formula unit: 0.0
# Crystal system: monoclinic
# Calculated total energy in eV per atom: -3.1817



Question: The highest total moment belongs to which entry?
Answer: RbUHg2I8



Question: Which of these has the lowest calculated total energy?
Answer: PmCuTe2O8



What did the first record say?
# RbUHg2I8, relaxed, DFT PBE-GGA
data_RbUHg2I8
_chemical_formula_sum 'Rb1 U1 Hg2 I8'
_space_group_name_H-M_alt 'P -1'
_space_group_IT_number 2
_cell_length_a 7.8464
_cell_length_b 8.1720
_cell_length_c 10.3538
_cell_angle_alpha 112.13
_cell_angle_beta 92.22
_cell_angle_gamma 96.30
loop_
_space_group_symop_operation_xyz
'x,y,z'
'-x,-y,-z'
loop_
_atom_site_label
_atom_site_type_symbol
_atom_site_fract_x
_atom_site_fract_y
_atom_site_fract_z
Rb1 Rb 0.0000 0.0000 0.0000
U1 U 0.0000 0.0000 0.5000
Hg1 Hg 0.4619 0.6579 0.1963
I1 I 0.0969 0.7283 0.2177
I2 I 0.1472 0.7931 0.6523
I3 I 0.3489 0.2365 0.5376
I4 I 0.4442 0.2620 0.0458
# Total moment in μB per formula unit: 3.0
# E_form (uncorrected) in eV per atom: -0.6552
# Crystal system: triclinic
# Calculated total energy in eV per atom: -2.7603